Density functional theory data (PBE) for crystalline K2Sm2TcO6 at its relaxed geometry.

Results
Calculated volume = 17.57 Å³/atom
Formation energy from raw total energies = -2287.0 meV per atom
Space group = C2/m

a = 5.8996 Å, b = 5.8996 Å, c = 6.6078 Å
α = 97.62°, β = 97.62°, γ = 119.43°
Closest atoms and distances in Å follow each position.
Element x y z (fractional)
1 K 0.1584 0.8416 0.0000  4 O 2.73-2.76
2 K 0.8416 0.1584 0.0000  4 O 2.73-2.76
3 Sm 0.3354 0.6646 0.5000  6 O 2.33-2.36
4 Sm 0.6646 0.3354 0.5000  6 O 2.33-2.36
5 Tc 0.0000 0.0000 0.5000  6 O 2.08-2.11
6 O 0.0463 0.3531 0.6728  1 Tc 2.11, 1 Sm 2.33
7 O 0.2425 0.2425 0.3236  1 Tc 2.08
8 O 0.3531 0.0463 0.6728  1 Tc 2.11, 1 Sm 2.33
9 O 0.6469 0.9537 0.3272  1 Tc 2.11, 1 Sm 2.33
10 O 0.7575 0.7575 0.6764  1 Tc 2.08
11 O 0.9537 0.6469 0.3272  1 Tc 2.11, 1 Sm 2.33